VASP calculation (PBE-GGA) on a geometry-optimized SrTa2Ni structure.

Results
Space group ... Pmmm (47)
Energy relative to the elements ... 971 meV/atom
E above lowest polymorph ... 636.6 meV/atom
Crystal system ... orthorhombic

Cell lengths 2.843, 5.103, 5.501 Å; angles 90.00, 90.00, 90.00 degrees
Positions (direct):
Sr1 0.000 0.000 0.000
Ta1 0.500 0.500 0.259
Ta2 0.500 0.500 0.741
Ni1 0.000 0.000 0.500



VASP calculation (PBE-GGA) on a geometry-optimized SrTa3Ni structure.

Results
Space group ... Pm-3m (221)
Energy relative to the elements ... 3183 meV/atom
E above lowest polymorph ... 2157.9 meV/atom
Crystal system ... cubic

Cell lengths 4.805, 4.805, 4.805 Å; angles 90.00, 90.00, 90.00 degrees
Positions (direct):
Sr1 0.000 0.000 0.000
Ta1 0.000 0.000 0.500
Ta2 0.000 0.500 0.000
Ta3 0.500 0.000 0.000
Ni1 0.500 0.500 0.500



VASP calculation (PBE-GGA) on a geometry-optimized SrTa2Ni structure.

Results
Space group ... Imm2 (44)
Energy relative to the elements ... 786 meV/atom
E above lowest polymorph ... 451.1 meV/atom
Crystal system ... orthorhombic

Cell lengths 5.871, 5.871, 5.871 Å; angles 150.10, 123.97, 64.81 degrees
Positions (direct):
Sr1 0.000 0.000 0.000
Ta1 0.305 0.805 0.500
Ta2 0.543 0.543 0.000
Ni1 0.742 0.242 0.500



VASP calculation (PBE-GGA) on a geometry-optimized SrTaNi structure.

Results
Space group ... P-6m2 (187)
Energy relative to the elements ... 468 meV/atom
E above lowest polymorph ... 149.7 meV/atom
Crystal system ... hexagonal

Cell lengths 4.125, 4.125, 5.073 Å; angles 90.00, 90.00, 120.00 degrees
Positions (direct):
Sr1 0.000 0.000 0.000
Ta1 0.667 0.333 0.500
Ni1 0.333 0.667 0.500



VASP calculation (PBE-GGA) on a geometry-optimized SrTa2Ni structure.

Results
Space group ... P4mm (99)
Energy relative to the elements ... 335 meV/atom
E above lowest polymorph ... 0.0 meV/atom
Crystal system ... tetragonal

Cell lengths 3.154, 3.154, 8.395 Å; angles 90.00, 90.00, 90.00 degrees
Positions (direct):
Sr1 0.000 0.000 0.000
Ta1 0.000 0.000 0.430
Ta2 0.500 0.500 0.656
Ni1 0.500 0.500 0.283



VASP calculation (PBE-GGA) on a geometry-optimized SrTa2Ni structure.

Results
Space group ... I4/mmm (139)
Energy relative to the elements ... 848 meV/atom
E above lowest polymorph ... 513.3 meV/atom
Crystal system ... tetragonal

Cell lengths 5.924, 5.924, 5.924 Å; angles 140.90, 140.90, 56.48 degrees
Positions (direct):
Sr1 0.000 0.000 0.000
Ta1 0.250 0.750 0.500
Ta2 0.750 0.250 0.500
Ni1 0.500 0.500 0.000



VASP calculation (PBE-GGA) on a geometry-optimized Sr2TaNi structure.

Results
Space group ... P4/mmm (123)
Energy relative to the elements ... 1013 meV/atom
E above lowest polymorph ... 664.0 meV/atom
Crystal system ... tetragonal

Cell lengths 5.667, 5.667, 3.312 Å; angles 90.00, 90.00, 90.00 degrees
Positions (direct):
Sr1 0.000 0.500 0.000
Sr2 0.500 0.000 0.000
Ta1 0.000 0.000 0.500
Ni1 0.500 0.500 0.500



VASP calculation (PBE-GGA) on a geometry-optimized Sr2TaNi structure.

Results
Space group ... I-4m2 (119)
Energy relative to the elements ... 1070 meV/atom
E above lowest polymorph ... 720.5 meV/atom
Crystal system ... tetragonal

Cell lengths 5.192, 5.192, 5.192 Å; angles 120.08, 120.08, 89.87 degrees
Positions (direct):
Sr1 0.000 0.000 0.000
Sr2 0.750 0.250 0.500
Ta1 0.250 0.750 0.500
Ni1 0.500 0.500 0.000